First-principles (PBE) data for a relaxed AlTl2Pb crystal, as listed in Alexandria via LeMat-Bulk.

The structure in POSCAR format:
```
AlTl2Pb
1.0
-2.314 2.314 5.252
2.314 -2.314 5.252
2.314 2.314 -5.252
Al Tl Pb
1 2 1
direct
0.000 0.000 0.000
0.250 0.750 0.500
0.750 0.250 0.500
0.500 0.500 0.000
```

Computed properties:
- crystal system = tetragonal
- magnetic moment (Bohr magnetons per cell) = 0.0
- polymorph energy (0 for the lowest one) (eV/atom) = 0.0648
- ΔH_f (0 K) (meV/atom) = 190